A plane-wave DFT calculation with PBE was carried out for a geometry-optimized Tb2MnNi structure.

extended XYZ file:
```
4
Lattice="3.429 0.000 0.000 0.000 3.429 0.000 0.000 0.000 7.031" Properties=species:S:1:pos:R:3 pbc="T T T"
Tb 0.000 0.000 1.669
Tb 0.000 0.000 5.362
Mn 1.714 1.714 3.515
Ni 1.714 1.714 0.000
```

Calculated volume   20.666 A^3/atom
Symmetry   P4/mmm
DOS(E_F)   1.13 states/eV per atom
Energy relative to the elements   -7 kJ per mole of atoms